[1]
First-principles (PBE-GGA) data for a geometry-optimized FeReAgB structure, as listed in OQMD via LeMat-Bulk.

Summary:
As for the energy above the most stable polymorph in this dataset: 0.000 eV/atom. The total energy comes out at -0.481 Ry per atom.

abc: 5.8764 5.8764 5.8764
angles: 90.00 90.00 90.00
With the nearest neighbours (Å) after each atom.
Space group F-43m (No. 216)
Inequivalent atoms, fractional coordinates:
Fe 0.0000 0.0000 0.0000 x4  4 B 2.54, 4 Ag 2.54
Re 0.0000 0.0000 0.5000 x4  4 B 2.54, 4 Ag 2.54
Ag 0.2500 0.2500 0.2500 x4  4 Fe 2.54, 4 Re 2.54
B 0.2500 0.2500 0.7500 x4  4 Fe 2.54, 4 Re 2.54

=====

[2]
First-principles (PBE-GGA) data for a geometry-optimized RbTmHgSe3 structure, as listed in OQMD via LeMat-Bulk.

Summary:
The total energy comes out at -0.280 Ry per atom.

abc: 18.3852 4.1752 9.3770
angles: 90.00 102.01 90.00
With the nearest neighbours (Å) after each atom.
Space group C2/m (No. 12)
Inequivalent atoms, fractional coordinates:
Rb 0.1458 0.0000 0.0648 x4  7 Se 3.35-3.51
Tm 0.1721 0.0000 0.5741 x4  6 Se 2.81-3.10
Hg 0.0158 0.5000 0.7222 x4  4 Se 2.68-2.92
Se 0.0000 0.0000 0.5000 x2  4 Hg 2.92, 2 Tm 3.10
Se 0.0000 0.5000 0.0000 x2  2 Hg 2.68
Se 0.1686 0.5000 0.7761 x4  1 Hg 2.75, 2 Tm 2.83
Se 0.1715 0.5000 0.3697 x4  3 Tm 2.81-2.83

=====

Copy entry 2 word for word.
First-principles (PBE-GGA) data for a geometry-optimized RbTmHgSe3 structure, as listed in OQMD via LeMat-Bulk.

Summary:
The total energy comes out at -0.280 Ry per atom.

abc: 18.3852 4.1752 9.3770
angles: 90.00 102.01 90.00
With the nearest neighbours (Å) after each atom.
Space group C2/m (No. 12)
Inequivalent atoms, fractional coordinates:
Rb 0.1458 0.0000 0.0648 x4  7 Se 3.35-3.51
Tm 0.1721 0.0000 0.5741 x4  6 Se 2.81-3.10
Hg 0.0158 0.5000 0.7222 x4  4 Se 2.68-2.92
Se 0.0000 0.0000 0.5000 x2  4 Hg 2.92, 2 Tm 3.10
Se 0.0000 0.5000 0.0000 x2  2 Hg 2.68
Se 0.1686 0.5000 0.7761 x4  1 Hg 2.75, 2 Tm 2.83
Se 0.1715 0.5000 0.3697 x4  3 Tm 2.81-2.83

=====

- Which formula does entry 1 have?
  FeReAgB